No. 1
The following is a DFT calculation (PBEsol) of a relaxed Ba2SrTl crystal.

Values from the calculation:
Calculated formation energy ... -0.182 eV per atom
Total energy ... -0.1745 Ry per atom
Magnetization ... 0.001 μB per atom

Unit cell a=4.3146 b=6.0805 c=7.6389 alpha=113.45 beta=106.40 gamma=90.00
Closest atoms and distances in Å follow each position.
Sites, in units of the cell vectors:
Sr (0.0000, 0.5000, 0.0000)  4 Tl 3.73, 4 Ba 4.08
Tl (0.5000, 0.0000, 0.0000)  4 Ba 3.47, 4 Sr 3.73
Ba (0.7957, 0.7957, 0.5914)  2 Tl 3.47
Ba (0.2043, 0.2043, 0.4086)  2 Tl 3.47

No. 2
The following is a DFT calculation (PBEsol) of a relaxed CuOs3I crystal.

Values from the calculation:
Formation energy (no corrections) ... 11.995 eV per formula unit
Total energy ... -0.4521 Ry per atom
Magnetization ... 0.000 μB per atom

Unit cell a=4.4727 b=4.4727 c=4.4727 alpha=90.00 beta=90.00 gamma=90.00
Closest atoms and distances in Å follow each position.
Sites, in units of the cell vectors:
I (0.5000, 0.5000, 0.5000)  12 Os 3.16
Os (0.0000, 0.5000, 0.0000)  2 Cu 2.24
Os (0.0000, 0.0000, 0.5000)  2 Cu 2.24
Os (0.5000, 0.0000, 0.0000)  2 Cu 2.24
Cu (0.0000, 0.0000, 0.0000)  6 Os 2.24

No. 3
The following is a DFT calculation (PBEsol) of a relaxed Ba2Cd crystal.

Values from the calculation:
Calculated formation energy ... -0.150 eV per atom
Total energy ... -0.1456 Ry per atom
Magnetization ... 0.001 μB per atom

Unit cell a=11.2323 b=11.2323 c=11.2323 alpha=60.00 beta=60.00 gamma=60.00
Closest atoms and distances in Å follow each position.
Sites, in units of the cell vectors:
Ba (0.1250, 0.1250, 0.6250)  6 Cd 3.52
Ba (0.1250, 0.6250, 0.1250)  6 Cd 3.52
Ba (0.6250, 0.1250, 0.1250)  6 Cd 3.52
Ba (0.1250, 0.1250, 0.1250)  6 Cd 3.52
Ba (0.9404, 0.5596, 0.5596)  2 Cd 3.59
Ba (0.5596, 0.9404, 0.5596)  2 Cd 3.59
Ba (0.5596, 0.5596, 0.9404)  2 Cd 3.59
Ba (0.9404, 0.9404, 0.5596)  2 Cd 3.59
Ba (0.9404, 0.5596, 0.9404)  2 Cd 3.59
Ba (0.5596, 0.9404, 0.9404)  2 Cd 3.59
Ba (0.3096, 0.6904, 0.6904)  2 Cd 3.59
Ba (0.6904, 0.3096, 0.6904)  2 Cd 3.59
Ba (0.6904, 0.6904, 0.3096)  2 Cd 3.59
Ba (0.3096, 0.3096, 0.6904)  2 Cd 3.59
Ba (0.3096, 0.6904, 0.3096)  2 Cd 3.59
Ba (0.6904, 0.3096, 0.3096)  2 Cd 3.59
Cd (0.3416, 0.3416, 0.3416)  6 Ba 3.52-3.59
Cd (0.9751, 0.3416, 0.3416)  6 Ba 3.52-3.59
Cd (0.3416, 0.9751, 0.3416)  6 Ba 3.52-3.59
Cd (0.3416, 0.3416, 0.9751)  6 Ba 3.52-3.59
Cd (0.9084, 0.9084, 0.9084)  6 Ba 3.52-3.59
Cd (0.2749, 0.9084, 0.9084)  6 Ba 3.52-3.59
Cd (0.9084, 0.2749, 0.9084)  6 Ba 3.52-3.59
Cd (0.9084, 0.9084, 0.2749)  6 Ba 3.52-3.59

No. 4
The following is a DFT calculation (PBEsol) of a relaxed Li4Ni7O11 crystal.

Values from the calculation:
Formation energy (no corrections) ... -24.719 eV per formula unit
Total energy ... -0.4458 Ry per atom
Magnetization ... 0.180 μB per atom

Unit cell a=5.0012 b=8.6274 c=9.4650 alpha=113.76 beta=95.43 gamma=95.52
Closest atoms and distances in Å follow each position.
Sites, in units of the cell vectors:
Li (0.2680, 0.5880, 0.0445)  6 O 2.03-2.22
Li (0.7320, 0.4120, 0.9555)  6 O 2.03-2.22
Li (0.4542, 0.3094, 0.4056)  6 O 2.01-2.25
Li (0.9188, 0.1360, 0.3201)  6 O 2.05-2.19
Li (0.6338, 0.0447, 0.7694)  6 O 2.00-2.18
Li (0.3662, 0.9553, 0.2306)  6 O 2.00-2.18
Li (0.0812, 0.8640, 0.6799)  6 O 2.05-2.19
Li (0.5458, 0.6906, 0.5944)  6 O 2.01-2.25
Ni (0.6316, 0.5463, 0.2711)  6 O 1.94-2.09
Ni (0.0000, 0.5000, 0.5000)  6 O 2.00-2.07
Ni (0.3684, 0.4537, 0.7289)  6 O 1.94-2.09
Ni (0.8191, 0.2711, 0.6387)  6 O 1.89-2.09
Ni (0.0887, 0.3645, 0.1843)  6 O 1.90-2.12
Ni (0.1871, 0.2259, 0.8644)  6 O 1.97-2.08
Ni (0.2750, 0.0923, 0.5438)  6 O 1.95-2.03
Ni (0.5445, 0.1793, 0.0955)  6 O 1.98-2.06
Ni (0.0000, 0.0000, 0.0000)  6 O 1.91-1.92
Ni (0.7250, 0.9077, 0.4562)  6 O 1.95-2.03
Ni (0.4555, 0.8207, 0.9045)  6 O 1.98-2.06
Ni (0.8129, 0.7741, 0.1356)  6 O 1.97-2.08
Ni (0.1809, 0.7289, 0.3613)  6 O 1.89-2.09
Ni (0.9113, 0.6355, 0.8157)  6 O 1.90-2.12
O (0.9597, 0.5847, 0.1688)  4 Ni 1.90-2.12, 2 Li 2.03-2.10
O (0.2882, 0.5293, 0.3763)  4 Ni 1.90-2.09
O (0.7118, 0.4707, 0.6237)  4 Ni 1.90-2.09
O (0.6070, 0.6171, 0.9168)  4 Ni 1.90-2.06, 1 Li 2.09
O (0.0403, 0.4153, 0.8312)  4 Ni 1.90-2.12, 2 Li 2.03-2.10
O (0.1552, 0.2993, 0.5305)  4 Ni 1.94-2.09, 2 Li 2.01-2.08
O (0.3930, 0.3829, 0.0832)  4 Ni 1.90-2.06, 1 Li 2.09
O (0.7838, 0.3553, 0.2888)  4 Ni 1.91-2.02
O (0.4872, 0.2574, 0.7531)  4 Ni 1.94-2.09, 2 Li 2.03-2.10
O (0.9637, 0.0803, 0.6531)  4 Ni 1.91-2.03, 2 Li 2.11-2.13
O (0.8841, 0.2033, 0.9935)  4 Ni 1.90-2.08
O (0.2230, 0.1454, 0.1922)  3 Ni 1.91-2.09, 3 Li 2.00-2.09
O (0.5991, 0.1168, 0.4509)  3 Ni 1.89-1.99, 1 Li 2.05
O (0.7014, 0.9757, 0.1043)  4 Ni 1.91-2.02, 1 Li 2.07
O (0.2986, 0.0243, 0.8957)  4 Ni 1.91-2.02, 1 Li 2.07
O (0.4009, 0.8832, 0.5491)  3 Ni 1.89-1.99, 1 Li 2.05
O (0.7770, 0.8546, 0.8078)  3 Ni 1.91-2.09, 3 Li 2.00-2.09
O (0.0363, 0.9197, 0.3469)  4 Ni 1.91-2.03, 2 Li 2.11-2.13
O (0.5128, 0.7426, 0.2469)  4 Ni 1.94-2.09, 2 Li 2.03-2.10
O (0.8448, 0.7007, 0.4695)  4 Ni 1.94-2.09, 2 Li 2.01-2.08
O (0.2162, 0.6447, 0.7112)  4 Ni 1.91-2.02
O (0.1159, 0.7967, 0.0065)  4 Ni 1.90-2.08